First-principles (PBE) data for an optimized crystal structure of Ti2Bi2S, as listed in Alexandria.

Properties
SG   I4/mmm
ΔE_f (raw)   0.31 eV per atom
Spin magnetization   0.29 μB per atom
Energy above the most stable polymorph in this dataset   623 meV/atom

Cell: 5.298 5.298 5.970 Å, 63.66 63.66 90.00°
Last column: magnetic moment on the atom in μB.
Element x y z (fractional)
1 S 0.000 0.000 0.000  -0.08
2 Bi 0.341 0.341 0.317  -0.05
3 Bi 0.659 0.659 0.683  -0.05
4 Ti 0.750 0.250 0.500  0.68
5 Ti 0.250 0.750 0.500  0.68